# 1
Density functional theory data (PBE) for crystalline Sm2TmIn4 at its relaxed geometry.

Cell lengths 8.8846, 8.8846, 8.8846 Å; angles 143.22, 143.22, 52.99 degrees
Closest atoms and distances in Å follow each position.
Positions (direct):
Sm1 0.1088 0.1088 0.0000  5 In 3.20-3.29, 1 Sm 3.46
Sm2 0.8912 0.8912 0.0000  5 In 3.20-3.29, 1 Sm 3.46
Tm1 0.5000 0.5000 0.0000  6 In 2.80-3.02
In1 0.0000 0.5000 0.5000  2 Tm 2.80
In2 0.3102 0.3102 0.0000  1 Tm 3.02, 1 Sm 3.20
In3 0.5000 0.0000 0.5000  2 Tm 2.80
In4 0.6898 0.6898 0.0000  1 Tm 3.02, 1 Sm 3.20

Computed properties:
ΔH_f (0 K): 144 meV/atom

=====

# 2
Density functional theory data (PBE) for crystalline Sm15TmIn4 at its relaxed geometry.

Cell lengths 4.9371, 4.9371, 25.0950 Å; angles 90.00, 90.00, 90.00 degrees
Closest atoms and distances in Å follow each position.
Positions (direct):
Sm1 0.0000 0.0000 0.0000  4 Tm 3.49, 8 Sm 3.60
Sm2 0.0000 0.0000 0.2034  4 In 3.49, 8 Sm 3.50-3.51
Sm3 0.0000 0.0000 0.4013  4 In 3.49, 8 Sm 3.50
Sm4 0.0000 0.0000 0.5987  4 In 3.49, 8 Sm 3.50
Sm5 0.0000 0.0000 0.7966  4 In 3.49, 8 Sm 3.50-3.51
Sm6 0.0000 0.5000 0.1042  8 Sm 3.49-3.60, 2 In 3.54, 2 Tm 3.60
Sm7 0.0000 0.5000 0.3023  4 In 3.47-3.50, 8 Sm 3.49-3.50
Sm8 0.0000 0.5000 0.5000  8 Sm 3.49-3.50, 4 In 3.50
Sm9 0.0000 0.5000 0.6977  4 In 3.47-3.50, 8 Sm 3.49-3.50
Sm10 0.0000 0.5000 0.8958  8 Sm 3.49-3.60, 2 In 3.54, 2 Tm 3.60
Sm11 0.5000 0.0000 0.1042  8 Sm 3.49-3.60, 2 In 3.54, 2 Tm 3.60
Sm12 0.5000 0.0000 0.3023  4 In 3.47-3.50, 8 Sm 3.49-3.50
Sm13 0.5000 0.0000 0.5000  8 Sm 3.49-3.50, 4 In 3.50
Sm14 0.5000 0.0000 0.6977  4 In 3.47-3.50, 8 Sm 3.49-3.50
Sm15 0.5000 0.0000 0.8958  8 Sm 3.49-3.60, 2 In 3.54, 2 Tm 3.60
Tm1 0.5000 0.5000 0.0000  12 Sm 3.49-3.60
In1 0.5000 0.5000 0.2051  12 Sm 3.47-3.54
In2 0.5000 0.5000 0.4013  12 Sm 3.49-3.50
In3 0.5000 0.5000 0.5987  12 Sm 3.49-3.50
In4 0.5000 0.5000 0.7949  12 Sm 3.47-3.54

Computed properties:
ΔH_f (0 K): -208 meV/atom